[1]
Material: NaZrTl
Method: DFT, PBE
State: optimized geometry

Unit cell a=5.2720 b=3.2876 c=9.0485 alpha=90.00 beta=102.44 gamma=90.00
Closest atoms and distances in Å follow each position.
Space group P2/m (No. 10)
Asymmetric unit:
Na  0.2064  0.0000  0.3756  6 Tl 3.19-3.37, 4 Na 3.29-3.45
Zr  0.0000  0.5000  0.0000  6 Zr 3.11-3.29, 2 Tl 3.43
Zr  0.5000  0.0000  0.0000  4 Tl 3.07, 6 Zr 3.11-3.29
Tl  0.3241  0.5000  0.7091  3 Zr 3.07-3.43, 6 Na 3.19-3.37, 2 Tl 3.29

Summary:
offset from the most stable computed form	148.0	meV per atom
E	-11.91	eV/f.u.
mass density	6.909	g cm⁻³
ΔE_f	109	meV/atom
DOS(E_F)	0.899	states/eV per atom



[2]
Material: NaZrTl
Method: DFT, PBE
State: optimized geometry

Unit cell a=5.4650 b=3.3006 c=16.2327 alpha=90.00 beta=90.00 gamma=90.00
Closest atoms and distances in Å follow each position.
Space group Amm2 (No. 38)
Asymmetric unit:
Na  0.0000  0.0000  0.0000  4 Na 3.17-3.30, 6 Tl 3.23-3.30, 2 Zr 3.40
Na  0.0000  0.0000  0.3334  4 Tl 3.11-3.32, 4 Na 3.17-3.30, 4 Zr 3.31
Zr  0.5000  0.0000  0.1242  4 Zr 3.01-3.30, 6 Tl 3.28
Zr  0.5000  0.0000  0.7793  4 Zr 3.01-3.30, 4 Tl 3.22-3.25, 4 Na 3.31
Tl  0.0000  0.0000  0.6708  4 Na 3.11-3.23, 6 Zr 3.25-3.28, 2 Tl 3.30
Tl  0.5000  0.0000  0.4495  4 Zr 3.22-3.28, 6 Na 3.30-3.32, 2 Tl 3.30

Summary:
offset from the most stable computed form	118.3	meV per atom
E	-12.00	eV/f.u.
mass density	7.227	g cm⁻³
ΔE_f	79	meV/atom
DOS(E_F)	0.657	states/eV per atom



[3]
Material: NaZrTl2
Method: DFT, PBE
State: optimized geometry

Unit cell a=3.3381 b=3.3381 c=34.2581 alpha=90.00 beta=90.00 gamma=120.00
Closest atoms and distances in Å follow each position.
Space group R-3m (No. 166, hexagonal axes)
Asymmetric unit:
Na  0.0000  0.0000  0.0000  6 Na 3.34, 6 Tl 3.35
Zr  0.0000  0.0000  0.5000  2 Tl 2.96
Tl  0.0000  0.0000  0.4135  1 Zr 2.96

Summary:
E	-13.75	eV/f.u.
mass density	7.881	g cm⁻³
ΔE_f	212	meV/atom
DOS(E_F)	0.746	states/eV per atom



[4]
Material: NaZrTl
Method: DFT, PBE
State: optimized geometry

Unit cell a=3.2144 b=5.8497 c=8.4501 alpha=80.03 beta=79.07 gamma=74.07
Closest atoms and distances in Å follow each position.
Space group P-1 (No. 2)
Asymmetric unit:
Na  0.1726  0.4804  0.1710  5 Tl 3.18-3.48, 4 Na 3.21-3.25, 3 Zr 3.24-3.51
Zr  0.1550  0.0407  0.6489  4 Zr 3.03-3.21, 4 Tl 3.16-3.31, 1 Na 3.24
Tl  0.5000  0.0000  0.0000  6 Na 3.21-3.48, 2 Tl 3.21, 4 Zr 3.31
Tl  0.5000  0.5000  0.5000  6 Zr 3.16-3.43, 4 Na 3.18, 2 Tl 3.21

Summary:
offset from the most stable computed form	133.8	meV per atom
E	-11.95	eV/f.u.
mass density	7.112	g cm⁻³
ΔE_f	95	meV/atom
DOS(E_F)	0.370	states/eV per atom